{
  "formula": "ReIrBr",
  "functional": "PBE-GGA",
  "state": "optimized geometry",
  "final_energy_ev_per_fu": -21.0,
  "lattice_angstrom": [[2.9508, 0.0000, 0.0000], [-1.4754, 2.5554, 0.0000], [0.0000, 0.0000, 6.6161]],
  "species": ["Re", "Ir", "Br"],
  "frac_coords": [[0.0000, 0.0000, 0.0000], [0.6667, 0.3333, 0.6985], [0.3333, 0.6667, 0.3185]]
}

{
  "formula": "RbInSi",
  "functional": "PBE-GGA",
  "state": "optimized geometry",
  "final_energy_ev_per_fu": -8.8,
  "lattice_angstrom": [[7.3725, 0.0000, 0.0000], [0.0000, 8.4030, 0.0000], [-3.7918, 0.0000, 6.7708]],
  "species": ["Rb", "Rb", "Rb", "Rb", "In", "In", "In", "In", "Si", "Si", "Si", "Si"],
  "frac_coords": [[0.0806, 0.2319, 0.4874], [0.0806, 0.2681, 0.9874], [0.9194, 0.7319, 0.0126], [0.9194, 0.7681, 0.5126], [0.4270, 0.6265, 0.5695], [0.4270, 0.8735, 0.0695], [0.5730, 0.1265, 0.9305], [0.5730, 0.3735, 0.4305], [0.3888, 0.5957, 0.8908], [0.3888, 0.9043, 0.3908], [0.6112, 0.0957, 0.6092], [0.6112, 0.4043, 0.1092]]
}

{
  "formula": "Ba2HgPb2",
  "functional": "PBE-GGA",
  "state": "optimized geometry",
  "formation_energy_ev_per_atom": -0.534,
  "lattice_angstrom": [[6.2666, -2.6887, 0.0000], [6.2666, 2.6887, 0.0000], [-6.1254, 0.0000, 11.1526]],
  "species": ["Ba", "Ba", "Ba", "Ba", "Hg", "Hg", "Pb", "Pb", "Pb", "Pb"],
  "frac_coords": [[0.0213, 0.0213, 0.3340], [0.1849, 0.1849, 0.1088], [0.8151, 0.8151, 0.8912], [0.9787, 0.9787, 0.6660], [0.2710, 0.2710, 0.6652], [0.7290, 0.7290, 0.3348], [0.3567, 0.3567, 0.4527], [0.4766, 0.4766, 0.1121], [0.5234, 0.5234, 0.8879], [0.6433, 0.6433, 0.5473]]
}

{
  "formula": "Tl2FeOs",
  "functional": "PBE-GGA",
  "state": "optimized geometry",
  "formation_energy_ev_per_atom": 1.220,
  "lattice_angstrom": [[-3.7441, 3.7441, 2.8852], [3.7441, -3.7441, 2.8852], [3.7441, 3.7441, -2.8852]],
  "species": ["Tl", "Tl", "Tl", "Tl", "Fe", "Fe", "Os", "Os"],
  "frac_coords": [[0.1198, 0.6250, 0.9948], [0.3750, 0.3698, 0.4948], [0.6302, 0.1250, 0.0052], [0.8750, 0.8802, 0.5052], [0.0000, 0.0000, 0.0000], [0.7500, 0.2500, 0.5000], [0.2500, 0.7500, 0.5000], [0.5000, 0.5000, 0.0000]]
}

{
  "formula": "RbHg3Pt",
  "functional": "PBE-GGA",
  "state": "optimized geometry",
  "formation_energy_ev_per_atom": -0.117,
  "lattice_angstrom": [[-3.1718, 3.1718, 8.7567], [3.1718, -3.1718, 8.7567], [3.1718, 3.1718, -8.7567]],
  "species": ["Rb", "Rb", "Hg", "Hg", "Hg", "Hg", "Hg", "Hg", "Pt", "Pt"],
  "frac_coords": [[0.1696, 0.1696, 0.0000], [0.8304, 0.8304, 0.0000], [0.0373, 0.5373, 0.5000], [0.1315, 0.3718, 0.7597], [0.4627, 0.9627, 0.5000], [0.6121, 0.3718, 0.2403], [0.6282, 0.3879, 0.7597], [0.6282, 0.8685, 0.2403], [0.5000, 0.5000, 0.0000], [0.7500, 0.2500, 0.5000]]
}

{
  "formula": "SmScAgOs",
  "functional": "PBE-GGA",
  "state": "optimized geometry",
  "formation_energy_ev_per_atom": -0.206,
  "lattice_angstrom": [[0.0000, 3.4466, 3.4466], [3.4466, 0.0000, 3.4466], [3.4466, 3.4466, 0.0000]],
  "species": ["Sm", "Sc", "Ag", "Os"],
  "frac_coords": [[0.0000, 0.0000, 0.0000], [0.5000, 0.5000, 0.5000], [0.2500, 0.2500, 0.2500], [0.7500, 0.7500, 0.7500]]
}

{
  "formula": "CaCd3In4",
  "functional": "PBE-GGA",
  "state": "optimized geometry",
  "formation_energy_ev_per_atom": -0.107,
  "lattice_angstrom": [[10.0934, 0.0000, 0.0000], [0.0000, 7.2857, 0.0000], [0.0000, 0.0000, 5.6039]],
  "species": ["Ca", "Ca", "Cd", "Cd", "Cd", "Cd", "Cd", "Cd", "In", "In", "In", "In", "In", "In", "In", "In"],
  "frac_coords": [[0.0000, 0.0000, 0.0000], [0.5000, 0.0000, 0.0000], [0.0000, 0.5000, 0.0000], [0.2500, 0.0000, 0.3852], [0.2500, 0.5000, 0.3580], [0.5000, 0.5000, 0.0000], [0.7500, 0.0000, 0.6148], [0.7500, 0.5000, 0.6420], [0.0000, 0.2614, 0.5000], [0.0000, 0.7386, 0.5000], [0.2500, 0.2693, 0.8674], [0.2500, 0.7307, 0.8674], [0.5000, 0.2614, 0.5000], [0.5000, 0.7386, 0.5000], [0.7500, 0.2693, 0.1326], [0.7500, 0.7307, 0.1326]]
}

{
  "formula": "SrPb3Br",
  "functional": "PBE-GGA",
  "state": "optimized geometry",
  "final_energy_ev_per_fu": -11.4,
  "lattice_angstrom": [[6.3159, 0.0000, 0.0000], [0.0000, 6.3159, 0.0000], [0.0000, 0.0000, 6.3159]],
  "species": ["Sr", "Pb", "Pb", "Pb", "Br"],
  "frac_coords": [[0.0000, 0.0000, 0.0000], [0.0000, 0.0000, 0.5000], [0.0000, 0.5000, 0.0000], [0.5000, 0.0000, 0.0000], [0.5000, 0.5000, 0.5000]]
}

{
  "formula": "ZnCd2P",
  "functional": "PBE-GGA",
  "state": "optimized geometry",
  "formation_energy_ev_per_atom": 0.223,
  "lattice_angstrom": [[2.7746, 0.0000, 0.0000], [0.0000, 3.7363, 0.0000], [-0.0439, 0.0000, 7.8202]],
  "species": ["Zn", "Cd", "Cd", "P"],
  "frac_coords": [[0.0000, 0.0000, 0.0000], [0.4990, 0.5000, 0.7557], [0.5010, 0.5000, 0.2443], [0.5000, 0.0000, 0.5000]]
}

{
  "formula": "LiTiV3",
  "functional": "PBE-GGA",
  "state": "optimized geometry",
  "formation_energy_ev_per_atom": 1.281,
  "lattice_angstrom": [[4.4967, 0.0000, 0.0000], [0.0000, 4.4967, 0.0000], [0.0000, 0.0000, 4.4967]],
  "species": ["Li", "Ti", "V", "V", "V"],
  "frac_coords": [[0.0000, 0.0000, 0.0000], [0.5000, 0.5000, 0.5000], [0.0000, 0.5000, 0.5000], [0.5000, 0.0000, 0.5000], [0.5000, 0.5000, 0.0000]]
}

{
  "formula": "TmMnInRu",
  "functional": "PBE-GGA",
  "state": "optimized geometry",
  "formation_energy_ev_per_atom": -0.129,
  "lattice_angstrom": [[0.0000, 3.3113, 3.3113], [3.3113, 0.0000, 3.3113], [3.3113, 3.3113, 0.0000]],
  "species": ["Tm", "Mn", "In", "Ru"],
  "frac_coords": [[0.0000, 0.0000, 0.0000], [0.2500, 0.2500, 0.2500], [0.5000, 0.5000, 0.5000], [0.7500, 0.7500, 0.7500]]
}

{
  "formula": "Cu2SnBr5",
  "functional": "PBE-GGA",
  "state": "optimized geometry",
  "final_energy_ev_per_fu": -23.8,
  "lattice_angstrom": [[2.7096, -9.5332, 0.0000], [2.7096, 9.5332, 0.0000], [0.0000, 0.0000, 11.8864]],
  "species": ["Cu", "Cu", "Cu", "Cu", "Sn", "Sn", "Br", "Br", "Br", "Br", "Br", "Br", "Br", "Br", "Br", "Br"],
  "frac_coords": [[0.1879, 0.8121, 0.5488], [0.1879, 0.8121, 0.9512], [0.8121, 0.1879, 0.0488], [0.8121, 0.1879, 0.4512], [0.1923, 0.8077, 0.2500], [0.8077, 0.1923, 0.7500], [0.0903, 0.9097, 0.0784], [0.0903, 0.9097, 0.4216], [0.2275, 0.7725, 0.7500], [0.3072, 0.6928, 0.0514], [0.3072, 0.6928, 0.4486], [0.6928, 0.3072, 0.5514], [0.6928, 0.3072, 0.9486], [0.7725, 0.2275, 0.2500], [0.9097, 0.0903, 0.5784], [0.9097, 0.0903, 0.9216]]
}

{
  "formula": "BeMo3",
  "functional": "PBE-GGA",
  "state": "optimized geometry",
  "formation_energy_ev_per_atom": 0.116,
  "lattice_angstrom": [[2.8736, -4.4796, 0.0000], [2.8736, 4.4796, 0.0000], [0.0000, 0.0000, 4.4493]],
  "species": ["Be", "Be", "Mo", "Mo", "Mo", "Mo", "Mo", "Mo"],
  "frac_coords": [[0.1494, 0.8506, 0.7500], [0.8506, 0.1494, 0.2500], [0.1128, 0.3421, 0.7500], [0.3421, 0.1128, 0.2500], [0.3711, 0.6289, 0.2500], [0.6289, 0.3711, 0.7500], [0.6579, 0.8872, 0.7500], [0.8872, 0.6579, 0.2500]]
}

{
  "formula": "ReGeRu2",
  "functional": "PBE-GGA",
  "state": "optimized geometry",
  "formation_energy_ev_per_atom": -0.079,
  "lattice_angstrom": [[2.8764, 0.0000, 0.0000], [0.0000, 2.8764, 0.0000], [0.0000, 0.0000, 6.8591]],
  "species": ["Re", "Ge", "Ru", "Ru"],
  "frac_coords": [[0.0000, 0.0000, 0.0000], [0.0000, 0.0000, 0.5000], [0.5000, 0.5000, 0.2652], [0.5000, 0.5000, 0.7348]]
}

{
  "formula": "RbNa2NdI6",
  "functional": "PBE-GGA",
  "state": "optimized geometry",
  "final_energy_ev_per_fu": -31.3,
  "lattice_angstrom": [[4.1492, 2.3955, 7.6317], [-4.1492, 2.3955, 7.6317], [0.0000, -4.7911, 7.6317]],
  "species": ["Rb", "Na", "Na", "Nd", "I", "I", "I", "I", "I", "I"],
  "frac_coords": [[0.0000, 0.0000, 0.0000], [0.1944, 0.1944, 0.1944], [0.7087, 0.7087, 0.7087], [0.5187, 0.5187, 0.5187], [0.1258, 0.4428, 0.7753], [0.3525, 0.9243, 0.5461], [0.4428, 0.7753, 0.1258], [0.5461, 0.3525, 0.9243], [0.7753, 0.1258, 0.4428], [0.9243, 0.5461, 0.3525]]
}